# 1
The following is a DFT calculation (PBE) of crystalline TiBiS2 at its relaxed geometry.

Computed properties:
Magnetic moment   0.0 μB/f.u.
Crystal system   monoclinic
Symmetry   P2/c (13)
Formation energy (no corrections)   -954.6 meV/atom
Uncorrected energy   -5.962 eV per atom

Cell and atoms, written as POSCAR:
```
TiBiS2
1.0
3.4442 -0.0002 -0.0029
0.0002 5.9624 0.0538
0.0094 -4.0323 8.5849
S Bi Ti
4 2 2
Direct
0.4733 0.3883 0.1501 S
0.9796 0.8883 0.1501 S
0.4736 0.8336 0.8169 S
0.9799 0.3336 0.8169 S
0.4282 0.6109 0.4835 Bi
0.0242 0.1110 0.4835 Bi
0.9755 0.1109 0.9835 Ti
0.4778 0.6109 0.9835 Ti
```

---

# 2
The following is a DFT calculation (PBE) of crystalline TiBiS at its relaxed geometry.

Computed properties:
Magnetic moment   0.0 μB/f.u.
Crystal system   monoclinic
Symmetry   C2/m (12)
Formation energy (no corrections)   -513.1 meV/atom
Uncorrected energy   -5.814 eV per atom

Cell and atoms, written as POSCAR:
```
TiBiS
1.0
3.4015 0.0000 0.0000
0.0000 7.3651 0.0882
-1.7008 -1.4884 5.8522
Bi Ti S
2 2 2
Direct
0.4253 0.1665 0.8506 Bi
0.5747 0.8335 0.1494 Bi
0.3624 0.5184 0.7248 Ti
0.6376 0.4816 0.2752 Ti
0.8179 0.7082 0.6357 S
0.1821 0.2918 0.3643 S
```